This record from the Open Quantum Materials Database describes YZn after structural relaxation. The functional is PBE.

As for the total energy: -8.222 eV per formula unit.

It has space group Pm (No. 6), with a = 6.657 Å, b = 4.675 Å, c = 9.058 Å, α = 90.00°, β = 105.06° and γ = 90.00°. The distinct sites, in fractional coordinates, are Y at (0.000, 0.000, 0.000), Y at (0.004, 0.000, 0.629), Y at (0.345, 0.500, 0.246), Y at (0.350, 0.500, 0.875), Y at (0.529, 0.000, 0.673), Y at (0.821, 0.500, 0.203), Zn at (0.139, 0.000, 0.349), Zn at (0.211, 0.500, 0.527), Zn at (0.518, 0.000, 0.062), Zn at (0.641, 0.000, 0.358), Zn at (0.707, 0.500, 0.518) and Zn at (0.832, 0.500, 0.813).



This record from the Open Quantum Materials Database describes YZn after structural relaxation. The functional is PBE.

As for the total energy: -7.987 eV per formula unit.

It has space group P2_1/m (No. 11), with a = 6.882 Å, b = 5.103 Å, c = 8.025 Å, α = 90.00°, β = 100.86° and γ = 90.00°. The distinct sites, in fractional coordinates, are Y at (0.139, 0.250, 0.036), Y at (0.221, 0.750, 0.332), Y at (0.354, 0.750, 0.884), Zn at (0.004, 0.250, 0.377), Zn at (0.276, 0.250, 0.673) and Zn at (0.430, 0.250, 0.396).



This record from the Open Quantum Materials Database describes YZn after structural relaxation. The functional is PBE.

As for the total energy: -8.188 eV per formula unit.

It has space group Pmc2_1 (No. 26), with a = 4.399 Å, b = 10.945 Å, c = 5.877 Å, α = 90.00°, β = 90.00° and γ = 90.00°. The distinct sites, in fractional coordinates, are Y at (0.000, 0.093, 0.000), Y at (0.000, 0.398, 0.767), Y at (0.500, 0.161, 0.514), Zn at (0.000, 0.316, 0.288), Zn at (0.500, 0.295, 0.033) and Zn at (0.500, 0.438, 0.412).



This record from the Open Quantum Materials Database describes YZn after structural relaxation. The functional is PBE.

As for the total energy: -7.867 eV per formula unit.

It has space group Pmm2 (No. 25), with a = 4.650 Å, b = 7.569 Å, c = 5.161 Å, α = 90.00°, β = 90.00° and γ = 90.00°. The distinct sites, in fractional coordinates, are Y at (0.000, 0.000, 0.000), Y at (0.000, 0.297, 0.521), Y at (0.500, 0.000, 0.496), Zn at (0.000, 0.500, 0.022), Zn at (0.500, 0.267, 0.950) and Zn at (0.500, 0.500, 0.324).